[1]
Compound: Zr2InSb
Source: Alexandria via LeMat-Bulk
Functional: PBE
Structure: optimized geometry

formation energy without anion corrections	-0.367	eV per atom
crystal system	monoclinic
ΔE to the lowest computed polymorph	20	meV/atom

Cell lengths 5.3060, 5.3060, 3.3736 Å; angles 84.09, 84.09, 103.99 degrees
Last column: nearest neighbours and their distance in Å.
Element x y z (fractional)
Zr 0.5000 0.5000 0.0000  4 In 2.99-3.29, 4 Sb 2.99-3.29, 2 Zr 3.27
Zr 0.0000 0.0000 0.0000  4 Sb 2.99-3.29, 4 In 2.99-3.29, 2 Zr 3.27
In 0.5000 0.0000 0.5000  8 Zr 2.99-3.29, 2 Sb 3.27
Sb 0.0000 0.5000 0.5000  8 Zr 2.99-3.29, 2 In 3.27

[2]
Compound: CaY2NpAs4
Source: Alexandria via LeMat-Bulk
Functional: PBE
Structure: optimized geometry

crystal system	monoclinic
final energy	-7.016	eV/atom

Cell lengths 4.1414, 7.1601, 7.1616 Å; angles 109.00, 90.00, 90.00 degrees
Last column: nearest neighbours and their distance in Å.
Element x y z (fractional)
Y 0.5000 0.0000 0.5000  6 As 2.89-2.90
Y 0.0000 0.5000 0.5000  6 As 2.96-2.98
Np 0.0000 0.0000 0.0000  6 As 2.85-2.91
As 0.5000 0.7565 0.7517  3 Y 2.89-2.96, 2 Np 2.91, 1 Ca 2.94
As 0.0000 0.2392 0.7498  1 Np 2.85, 3 Y 2.90-2.98, 2 Ca 2.97
As 0.0000 0.7608 0.2502  1 Np 2.85, 3 Y 2.90-2.98, 2 Ca 2.97
As 0.5000 0.2435 0.2483  3 Y 2.89-2.96, 2 Np 2.91, 1 Ca 2.94
Ca 0.5000 0.5000 0.0000  6 As 2.94-2.97

[3]
Compound: Yb3Ni7B2
Source: Alexandria via LeMat-Bulk
Functional: PBE
Structure: optimized geometry

crystal system	hexagonal
final energy	-5.289	eV/atom

Cell lengths 5.0949, 5.0949, 14.2918 Å; angles 90.00, 90.00, 120.00 degrees
Last column: nearest neighbours and their distance in Å.
Element x y z (fractional)
Yb 0.6667 0.3333 0.5336  12 Ni 2.98-3.05, 4 Yb 3.09
Yb 0.3333 0.6667 0.2500  12 Ni 2.91, 6 B 2.94, 2 Yb 3.09
Yb 0.3333 0.6667 0.4664  12 Ni 2.98-3.05, 4 Yb 3.09
Yb 0.6667 0.3333 0.7500  12 Ni 2.91, 6 B 2.94, 2 Yb 3.09
Yb 0.3333 0.6667 0.0336  12 Ni 2.98-3.05, 4 Yb 3.09
Yb 0.6667 0.3333 0.9664  12 Ni 2.98-3.05, 4 Yb 3.09
Ni 0.8349 0.6697 0.1514  2 B 2.03-2.05
Ni 0.1651 0.3303 0.8486  2 B 2.03-2.05
Ni 0.8349 0.1651 0.3486  2 B 2.03-2.05
Ni 0.8349 0.6697 0.3486  2 B 2.03-2.05
Ni 0.3303 0.1651 0.1514  2 B 2.03-2.05
Ni 0.1651 0.3303 0.6514  2 B 2.03-2.05
Ni 0.0000 0.0000 0.0000  6 Ni 2.61
Ni 0.8349 0.1651 0.1514  2 B 2.03-2.05
Ni 0.1651 0.8349 0.8486  2 B 2.03-2.05
Ni 0.1651 0.8349 0.6514  2 B 2.03-2.05
Ni 0.6697 0.8349 0.6514  2 B 2.03-2.05
Ni 0.3303 0.1651 0.3486  2 B 2.03-2.05
Ni 0.6697 0.8349 0.8486  2 B 2.03-2.05
Ni 0.0000 0.0000 0.5000  6 Ni 2.61
B 0.6667 0.3333 0.2500  6 Ni 2.05
B 0.0000 0.0000 0.2500  6 Ni 2.03
B 0.0000 0.0000 0.7500  6 Ni 2.03
B 0.3333 0.6667 0.7500  6 Ni 2.05

[4]
Compound: Sm2HoHg2
Source: Alexandria via LeMat-Bulk
Functional: PBE
Structure: optimized geometry

crystal system	orthorhombic
ΔE to the lowest computed polymorph	48	meV/atom

Cell lengths 4.8212, 5.9990, 5.9990 Å; angles 71.36, 66.31, 66.31 degrees
Last column: nearest neighbours and their distance in Å.
Element x y z (fractional)
Ho 0.0000 0.0000 0.0000  4 Hg 3.12
Sm 0.1949 0.3051 0.3051  6 Hg 3.25-3.30, 1 Sm 3.30, 2 Ho 3.53
Sm 0.8051 0.6949 0.6949  6 Hg 3.25-3.30, 1 Sm 3.30, 2 Ho 3.53
Hg 0.5000 0.2821 0.7179  1 Hg 3.05, 2 Ho 3.12, 6 Sm 3.25-3.30
Hg 0.5000 0.7179 0.2821  1 Hg 3.05, 2 Ho 3.12, 6 Sm 3.25-3.30

[5]
Compound: Ti12Ga3Ni
Source: Alexandria via LeMat-Bulk
Functional: PBE
Structure: optimized geometry

crystal system	tetragonal
final energy	-7.108	eV/atom

Cell lengths 3.9995, 3.9995, 16.0326 Å; angles 90.00, 90.00, 90.00 degrees
Last column: nearest neighbours and their distance in Å.
Element x y z (fractional)
Ga 0.0000 0.0000 0.2462  12 Ti 2.83-2.87
Ga 0.0000 0.0000 0.5000  12 Ti 2.83-2.84
Ga 0.0000 0.0000 0.7538  12 Ti 2.83-2.87
Ti 0.5000 0.0000 0.6256  8 Ti 2.83-2.86, 4 Ga 2.84-2.87
Ti 0.0000 0.5000 0.1211  2 Ni 2.79, 8 Ti 2.79-2.84, 2 Ga 2.83
Ti 0.5000 0.5000 0.0000  8 Ti 2.79, 4 Ni 2.83
Ti 0.5000 0.0000 0.3744  8 Ti 2.83-2.86, 4 Ga 2.84-2.87
Ti 0.0000 0.5000 0.8789  2 Ni 2.79, 8 Ti 2.79-2.84, 2 Ga 2.83
Ti 0.5000 0.5000 0.7533  4 Ga 2.83, 8 Ti 2.84-2.86
Ti 0.5000 0.0000 0.8789  8 Ti 2.79-2.84, 2 Ni 2.79, 2 Ga 2.83
Ti 0.5000 0.5000 0.2467  4 Ga 2.83, 8 Ti 2.84-2.86
Ti 0.0000 0.5000 0.3744  8 Ti 2.83-2.86, 4 Ga 2.84-2.87
Ti 0.0000 0.5000 0.6256  8 Ti 2.83-2.86, 4 Ga 2.84-2.87
Ti 0.5000 0.5000 0.5000  4 Ga 2.83, 8 Ti 2.84
Ti 0.5000 0.0000 0.1211  8 Ti 2.79-2.84, 2 Ni 2.79, 2 Ga 2.83
Ni 0.0000 0.0000 0.0000  12 Ti 2.79-2.83

[6]
Compound: CePuAlAg
Source: Alexandria via LeMat-Bulk
Functional: PBE
Structure: optimized geometry

crystal system	cubic
final energy	-6.751	eV/atom

Cell lengths 5.2001, 5.2001, 5.2001 Å; angles 60.00, 60.00, 60.00 degrees
Last column: nearest neighbours and their distance in Å.
Element x y z (fractional)
Pu 0.5000 0.5000 0.5000  4 Ag 3.18, 4 Al 3.18
Ag 0.2500 0.2500 0.2500  4 Ce 3.18, 4 Pu 3.18
Ce 0.0000 0.0000 0.0000  4 Al 3.18, 4 Ag 3.18
Al 0.7500 0.7500 0.7500  4 Ce 3.18, 4 Pu 3.18

[7]
Compound: W5C
Source: Alexandria via LeMat-Bulk
Functional: PBE
Structure: optimized geometry

crystal system	tetragonal
ΔE to the lowest computed polymorph	0	meV/atom

Cell lengths 2.7117, 2.7117, 11.8747 Å; angles 90.00, 90.00, 90.00 degrees
Last column: nearest neighbours and their distance in Å.
Element x y z (fractional)
C 0.5000 0.5000 0.0000  8 W 2.33
W 0.0000 0.0000 0.8886  4 C 2.33
W 0.5000 0.5000 0.3064  12 W 2.71-3.01
W 0.0000 0.0000 0.5000  12 W 2.71-2.99
W 0.5000 0.5000 0.6936  12 W 2.71-3.01
W 0.0000 0.0000 0.1114  4 C 2.33

[8]
Compound: Th4Tc
Source: Alexandria via LeMat-Bulk
Functional: PBE
Structure: optimized geometry

crystal system	tetragonal
ΔE to the lowest computed polymorph	117	meV/atom

Cell lengths 6.2470, 6.9224, 6.9224 Å; angles 90.00, 90.00, 90.00 degrees
Last column: nearest neighbours and their distance in Å.
Element x y z (fractional)
Tc 0.0000 0.5000 0.5000  8 Th 3.00
Tc 0.0000 0.0000 0.0000  8 Th 3.00
Th 0.2484 0.6702 0.8298  2 Tc 3.00, 1 Th 3.33
Th 0.7516 0.8298 0.6702  2 Tc 3.00, 1 Th 3.33
Th 0.7516 0.6702 0.1702  2 Tc 3.00, 1 Th 3.33
Th 0.7516 0.1702 0.3298  2 Tc 3.00, 1 Th 3.33
Th 0.7516 0.3298 0.8298  2 Tc 3.00, 1 Th 3.33
Th 0.2484 0.3298 0.1702  2 Tc 3.00, 1 Th 3.33
Th 0.2484 0.1702 0.6702  2 Tc 3.00, 1 Th 3.33
Th 0.2484 0.8298 0.3298  2 Tc 3.00, 1 Th 3.33

[9]
Compound: Ba2PaBe2As4
Source: Alexandria via LeMat-Bulk
Functional: PBE
Structure: optimized geometry

crystal system	monoclinic
final energy	-5.182	eV/atom

Cell lengths 4.1131, 7.6752, 7.8431 Å; angles 109.56, 105.20, 90.00 degrees
Last column: nearest neighbours and their distance in Å.
Element x y z (fractional)
As 0.7969 0.8493 0.5938  3 Be 2.40-2.43
As 0.4796 0.2448 0.9591  1 Be 2.33
As 0.2031 0.1507 0.4062  3 Be 2.40-2.43
As 0.5204 0.7552 0.0409  1 Be 2.33
Ba 0.8635 0.4221 0.7271  6 As 3.29-3.49, 3 Be 3.58-3.64
Ba 0.1365 0.5779 0.2729  6 As 3.29-3.49, 3 Be 3.58-3.64
Be 0.6709 0.9778 0.3418  4 As 2.33-2.43
Be 0.3291 0.0222 0.6582  4 As 2.33-2.43
Pa 0.0000 0.0000 0.0000  6 As 2.87-2.89

[10]
Compound: Tb2Pm3Ho4
Source: Alexandria via LeMat-Bulk
Functional: PBE
Structure: optimized geometry

crystal system	monoclinic
ΔE to the lowest computed polymorph	82	meV/atom

Cell lengths 6.0942, 11.2781, 11.2781 Å; angles 61.93, 62.99, 62.99 degrees
Last column: nearest neighbours and their distance in Å.
Element x y z (fractional)
Pm 0.2500 0.6486 0.3514  2 Ho 3.40, 6 Tb 3.50-3.54
Pm 0.7500 0.3514 0.6486  2 Ho 3.40, 6 Tb 3.50-3.54
Pm 0.7526 0.0157 0.3157  1 Tb 3.37, 8 Ho 3.39-3.77
Pm 0.2474 0.9843 0.6843  1 Tb 3.37, 8 Ho 3.39-3.77
Pm 0.7474 0.6843 0.9843  1 Tb 3.37, 8 Ho 3.39-3.77
Pm 0.2526 0.3157 0.0157  1 Tb 3.37, 8 Ho 3.39-3.77
Ho 0.9210 0.1735 0.9495  3 Ho 3.30-3.42, 4 Pm 3.40-3.56, 1 Tb 3.55
Ho 0.9160 0.8423 0.6177  2 Tb 3.34-3.42, 4 Pm 3.39-3.56, 2 Ho 3.42-3.56
Ho 0.5840 0.3823 0.1577  2 Tb 3.34-3.42, 4 Pm 3.39-3.56, 2 Ho 3.42-3.56
Ho 0.0840 0.1577 0.3823  2 Tb 3.34-3.42, 4 Pm 3.39-3.56, 2 Ho 3.42-3.56
Ho 0.0790 0.8265 0.0505  3 Ho 3.30-3.42, 4 Pm 3.40-3.56, 1 Tb 3.55
Ho 0.4210 0.9495 0.1735  3 Ho 3.30-3.42, 4 Pm 3.40-3.56, 1 Tb 3.55
Ho 0.5790 0.0505 0.8265  3 Ho 3.30-3.42, 4 Pm 3.40-3.56, 1 Tb 3.55
Ho 0.4160 0.6177 0.8423  2 Tb 3.34-3.42, 4 Pm 3.39-3.56, 2 Ho 3.42-3.56
Tb 0.4251 0.2808 0.5084  3 Ho 3.34-3.55, 4 Pm 3.37-3.54, 1 Tb 3.46
Tb 0.5749 0.7192 0.4916  3 Ho 3.34-3.55, 4 Pm 3.37-3.54, 1 Tb 3.46
Tb 0.9251 0.5084 0.2808  3 Ho 3.34-3.55, 4 Pm 3.37-3.54, 1 Tb 3.46
Tb 0.0749 0.4916 0.7192  3 Ho 3.34-3.55, 4 Pm 3.37-3.54, 1 Tb 3.46

[11]
Compound: Pm4Nd3Dy8
Source: Alexandria via LeMat-Bulk
Functional: PBE
Structure: optimized geometry

crystal system	monoclinic
final energy	-4.314	eV/atom

Cell lengths 6.8107, 9.3348, 9.3348 Å; angles 87.28, 111.41, 111.41 degrees
Last column: nearest neighbours and their distance in Å.
Element x y z (fractional)
Dy 0.0000 0.6405 0.3595  7 Dy 3.62-3.66, 4 Nd 3.66-3.86, 2 Pm 3.66
Dy 0.0000 0.3595 0.6405  7 Dy 3.62-3.66, 4 Nd 3.66-3.86, 2 Pm 3.66
Dy 0.5305 0.2678 0.2678  3 Nd 3.23-3.25, 2 Dy 3.25-3.56, 2 Pm 3.52-3.60
Dy 0.5000 0.2562 0.7438  3 Nd 3.14-3.38, 3 Pm 3.30-3.38
Dy 0.4695 0.7322 0.7322  3 Nd 3.23-3.25, 2 Dy 3.25-3.56, 2 Pm 3.52-3.60
Dy 0.0070 0.2668 0.2668  4 Pm 3.23-3.58, 1 Nd 3.24, 2 Dy 3.25-3.56
Dy 0.5000 0.7438 0.2562  3 Nd 3.14-3.38, 3 Pm 3.30-3.38
Dy 0.9930 0.7332 0.7332  4 Pm 3.23-3.58, 1 Nd 3.24, 2 Dy 3.25-3.56
Pm 0.0000 0.0000 0.0000  2 Pm 3.41, 4 Dy 3.58-3.60
Pm 0.0000 0.0000 0.5000  4 Dy 3.23-3.38, 2 Nd 3.41
Pm 0.0000 0.5000 0.0000  4 Dy 3.23-3.38, 2 Nd 3.41
Pm 0.5000 0.0000 0.0000  6 Dy 3.30-3.52, 2 Pm 3.41
Nd 0.5000 0.5000 0.0000  4 Dy 3.23-3.38, 2 Pm 3.41
Nd 0.5000 0.0000 0.5000  4 Dy 3.23-3.38, 2 Pm 3.41
Nd 0.5000 0.5000 0.5000  6 Dy 3.14-3.25